# 1
First-principles (PBE) data for crystalline Mg12Cd2Hg5 at its relaxed geometry, as listed in the Alexandria database.

The space group is C2/m (No. 12) and the conventional cell measures 15.9381, 6.1930 and 9.5798 Å, with angles of 90.00, 103.34 and 90.00 degrees. The distinct sites, in fractional coordinates, are Mg at (0.0172, 0.0000, 0.3322), Mg at (0.1033, 0.5000, 0.3015), Mg at (0.1516, 0.2450, 0.6047), Mg at (0.1959, 0.2490, 0.1132), Cd at (0.0000, 0.2559, 0.0000), Hg at (0.0000, 0.5000, 0.5000), Hg at (0.1436, 0.0000, 0.8601) and Hg at (0.1964, 0.0000, 0.3702).

The value obtained for the energy of formation from the pure elements is -0.0598 eV per atom. The calculation puts the total energy at -1.24 eV per atom. The value obtained for the density of states at the Fermi level is 14.30 states/eV per cell.

***

# 2
First-principles (PBE) data for crystalline Mg2Cd3Hg at its relaxed geometry, as listed in the Alexandria database.

The space group is C2/m (No. 12) and the conventional cell measures 13.7039, 4.1995 and 9.8826 Å, with angles of 90.00, 110.97 and 90.00 degrees. The distinct sites, in fractional coordinates, are Mg at (0.0300, 0.0000, 0.3666), Mg at (0.2112, 0.5000, 0.3681), Cd at (0.0398, 0.5000, 0.8700), Cd at (0.1242, 0.0000, 0.1272), Cd at (0.2073, 0.0000, 0.8764) and Hg at (0.1280, 0.5000, 0.6047).

The value obtained for the energy of formation from the pure elements is -0.0790 eV per atom. The calculation puts the total energy at -1.12 eV per atom. The value obtained for the density of states at the Fermi level is 6.68 states/eV per cell.

***

# 3
First-principles (PBE) data for crystalline MgCd2Hg8 at its relaxed geometry, as listed in the Alexandria database.

The space group is C2/m (No. 12) and the conventional cell measures 10.8281, 10.6484 and 5.4648 Å, with angles of 90.00, 102.46 and 90.00 degrees. The distinct sites, in fractional coordinates, are Mg at (0.0000, 0.0000, 0.0000), Cd at (0.1411, 0.0000, 0.5511), Hg at (0.0774, 0.5000, 0.2948), Hg at (0.0913, 0.2464, 0.8032) and Hg at (0.2280, 0.5000, 0.8729).

The value obtained for the energy of formation from the pure elements is 0.0221 eV per atom. As for the energy above the most stable polymorph in this dataset: 27 meV/atom. The calculation puts the total energy at -0.51 eV per atom. The value obtained for the density of states at the Fermi level is 6.17 states/eV per cell.

***

# 4
First-principles (PBE) data for crystalline MgCd5Hg8 at its relaxed geometry, as listed in the Alexandria database.

The space group is I-4 (No. 82) and the conventional cell measures 9.4006, 9.4006 and 7.9545 Å, with angles of 90.00, 90.00 and 90.00 degrees. The distinct sites, in fractional coordinates, are Mg at (0.0000, 0.0000, 0.0000), Cd at (0.0000, 0.5000, 0.7500), Cd at (0.0941, 0.3551, 0.3917), Hg at (0.9995, 0.1652, 0.6854) and Hg at (0.1526, 0.2735, 0.0315).

The value obtained for the energy of formation from the pure elements is 0.0012 eV per atom. The calculation puts the total energy at -0.61 eV per atom. The value obtained for the density of states at the Fermi level is 6.84 states/eV per cell.

***

# 5
First-principles (PBE) data for crystalline Mg2Cd5Hg12 at its relaxed geometry, as listed in the Alexandria database.

The space group is C2/m (No. 12) and the conventional cell measures 21.9563, 6.7564 and 6.6365 Å, with angles of 90.00, 104.93 and 90.00 degrees. The distinct sites, in fractional coordinates, are Mg at (0.0000, 0.2484, 0.0000), Cd at (0.0000, 0.0000, 0.5000), Cd at (0.1754, 0.5000, 0.1681), Cd at (0.2116, 0.0000, 0.3866), Hg at (0.0604, 0.5000, 0.7519), Hg at (0.0954, 0.2618, 0.3902), Hg at (0.1040, 0.0000, 0.9450) and Hg at (0.2003, 0.2518, 0.7902).

The value obtained for the energy of formation from the pure elements is -0.0086 eV per atom. As for the energy above the most stable polymorph in this dataset: 0 meV/atom. The calculation puts the total energy at -0.61 eV per atom. The value obtained for the density of states at the Fermi level is 9.91 states/eV per cell.

***

# 6
First-principles (PBE) data for crystalline Mg3CdHg at its relaxed geometry, as listed in the Alexandria database.

The space group is Pmmn (No. 59, origin choice 2) and the conventional cell measures 4.6678, 7.9675 and 6.1599 Å, with angles of 90.00, 90.00 and 90.00 degrees. The distinct sites, in fractional coordinates, are Mg at (0.2500, 0.0593, 0.2396), Mg at (0.2500, 0.2500, 0.7475), Cd at (0.2500, 0.7500, 0.5256) and Hg at (0.2500, 0.7500, 0.9880).

The value obtained for the energy of formation from the pure elements is -0.0915 eV per atom. As for the energy above the most stable polymorph in this dataset: 34 meV/atom. The calculation puts the total energy at -1.29 eV per atom. The value obtained for the density of states at the Fermi level is 2.94 states/eV per cell.

***

# 7
First-principles (PBE) data for crystalline Mg4CdHg2 at its relaxed geometry, as listed in the Alexandria database.

The space group is R-3m (No. 166, hexagonal axes) and the conventional cell measures 4.8358, 4.8358 and 23.4800 Å, with angles of 90.00, 90.00 and 120.00 degrees. The distinct sites, in fractional coordinates, are Mg at (0.0000, 0.0000, 0.1178), Mg at (0.0000, 0.0000, 0.3720), Cd at (0.0000, 0.0000, 0.5000) and Hg at (0.0000, 0.0000, 0.2511).

The value obtained for the energy of formation from the pure elements is -0.1475 eV per atom. As for the energy above the most stable polymorph in this dataset: 0 meV/atom. The calculation puts the total energy at -1.28 eV per atom. The value obtained for the density of states at the Fermi level is 8.88 states/eV per cell.

***

# 8
First-principles (PBE) data for crystalline Mg3CdHg at its relaxed geometry, as listed in the Alexandria database.

The space group is P1 (No. 1) and the conventional cell measures 3.2787, 4.0313 and 8.6031 Å, with angles of 103.00, 100.75 and 90.42 degrees. The distinct sites, in fractional coordinates, are Mg at (0.0000, 0.0000, 0.0000), Mg at (0.1950, 0.1957, 0.3866), Mg at (0.3936, 0.3935, 0.7842), Cd at (0.8018, 0.8009, 0.5962) and Hg at (0.5898, 0.5914, 0.1828).

The value obtained for the energy of formation from the pure elements is -0.1250 eV per atom. As for the energy above the most stable polymorph in this dataset: 0 meV/atom. The calculation puts the total energy at -1.33 eV per atom. The value obtained for the density of states at the Fermi level is 1.55 states/eV per cell.

***

# 9
First-principles (PBE) data for crystalline MgCd2Hg7 at its relaxed geometry, as listed in the Alexandria database.

The space group is P-1 (No. 2) and the conventional cell measures 7.6169, 8.9281 and 9.1724 Å, with angles of 69.43, 67.39 and 65.94 degrees. The distinct sites, in fractional coordinates, are Mg at (0.0202, 0.2571, 0.2506), Cd at (0.2677, 0.6072, 0.3044), Cd at (0.3467, 0.0697, 0.7763), Hg at (0.0832, 0.5992, 0.0727), Hg at (0.0917, 0.9674, 0.1350), Hg at (0.1775, 0.2664, 0.4888), Hg at (0.2457, 0.9071, 0.4433), Hg at (0.3202, 0.4465, 0.6517), Hg at (0.3957, 0.7195, 0.7634) and Hg at (0.4203, 0.2330, 0.0008).

The value obtained for the energy of formation from the pure elements is -0.0166 eV per atom. The calculation puts the total energy at -0.57 eV per atom. The value obtained for the density of states at the Fermi level is 5.63 states/eV per cell.

***

# 10
First-principles (PBE) data for crystalline Mg3Cd2Hg6 at its relaxed geometry, as listed in the Alexandria database.

The space group is R-3m (No. 166, hexagonal axes) and the conventional cell measures 3.7281, 3.7281 and 67.7645 Å, with angles of 90.00, 90.00 and 120.00 degrees. The distinct sites, in fractional coordinates, are Mg at (0.0000, 0.0000, 0.0000), Mg at (0.0000, 0.0000, 0.2751), Cd at (0.0000, 0.0000, 0.4521), Hg at (0.0000, 0.0000, 0.0873), Hg at (0.0000, 0.0000, 0.1831) and Hg at (0.0000, 0.0000, 0.3624).

The value obtained for the energy of formation from the pure elements is -0.0696 eV per atom. As for the energy above the most stable polymorph in this dataset: 0 meV/atom. The calculation puts the total energy at -0.84 eV per atom. The value obtained for the density of states at the Fermi level is 11.09 states/eV per cell.

***

# 11
First-principles (PBE) data for crystalline Mg2MnCdHg at its relaxed geometry, as listed in the Alexandria database.

The space group is P4/mmm (No. 123) and the conventional cell measures 5.2057, 5.2057 and 5.1637 Å, with angles of 90.00, 90.00 and 90.00 degrees. The distinct sites, in fractional coordinates, are Mg at (0.0000, 0.5000, 0.0000), Mn at (0.0000, 0.0000, 0.5000), Cd at (0.5000, 0.5000, 0.5000) and Hg at (0.0000, 0.0000, 0.0000).

The value obtained for the energy of formation from the pure elements is 0.4653 eV per atom. The calculation puts the total energy at -2.25 eV per atom. The value obtained for the density of states at the Fermi level is 3.75 states/eV per cell.

***

# 12
First-principles (PBE) data for crystalline Mg2CdHgN at its relaxed geometry, as listed in the Alexandria database.

The space group is P4/mmm (No. 123) and the conventional cell measures 4.2665, 4.2665 and 4.8949 Å, with angles of 90.00, 90.00 and 90.00 degrees. The distinct sites, in fractional coordinates, are Mg at (0.0000, 0.5000, 0.0000), Cd at (0.0000, 0.0000, 0.5000), Hg at (0.5000, 0.5000, 0.5000) and N at (0.0000, 0.0000, 0.0000).

The calculation puts the total energy at -2.73 eV per atom. The value obtained for the density of states at the Fermi level is 2.63 states/eV per cell.